Density functional theory data (PBE) for NaSr2Zn2Ag5 after structural relaxation.

As for the space group: No. 127.

abc: 10.654 10.654 4.118
angles: 90.00 90.00 90.00
Positions (direct):
1 Na 0.000 0.000 0.000
2 Na 0.500 0.500 0.000
3 Sr 0.180 0.320 0.000
4 Sr 0.320 0.820 0.000
5 Sr 0.680 0.180 0.000
6 Sr 0.820 0.680 0.000
7 Zn 0.116 0.616 0.000
8 Zn 0.384 0.116 0.000
9 Zn 0.616 0.884 0.000
10 Zn 0.884 0.384 0.000
11 Ag 0.000 0.500 0.500
12 Ag 0.059 0.785 0.500
13 Ag 0.215 0.059 0.500
14 Ag 0.285 0.559 0.500
15 Ag 0.441 0.285 0.500
16 Ag 0.500 0.000 0.500
17 Ag 0.559 0.715 0.500
18 Ag 0.715 0.441 0.500
19 Ag 0.785 0.941 0.500
20 Ag 0.941 0.215 0.500

***

Density functional theory data (PBE) for NaSr2ZnAg after structural relaxation.

As for the space group: No. 123.

abc: 6.174 6.174 5.020
angles: 90.00 90.00 90.00
Positions (direct):
1 Na 0.000 0.000 0.000
2 Sr 0.000 0.500 0.500
3 Sr 0.500 0.000 0.500
4 Zn 0.500 0.500 0.000
5 Ag 0.500 0.500 0.500

***

Density functional theory data (PBE) for NaSr2Zn3Ag12 after structural relaxation.

As for the space group: No. 166.

abc: 8.203 8.203 8.203
angles: 67.84 67.84 67.84
Positions (direct):
1 Na 0.000 0.000 0.000
2 Sr 0.396 0.396 0.396
3 Sr 0.604 0.604 0.604
4 Zn 0.000 0.000 0.500
5 Zn 0.000 0.500 0.000
6 Zn 0.500 0.000 0.000
7 Ag 0.014 0.648 0.648
8 Ag 0.143 0.143 0.638
9 Ag 0.143 0.638 0.143
10 Ag 0.352 0.352 0.986
11 Ag 0.352 0.986 0.352
12 Ag 0.362 0.857 0.857
13 Ag 0.638 0.143 0.143
14 Ag 0.648 0.014 0.648
15 Ag 0.648 0.648 0.014
16 Ag 0.857 0.362 0.857
17 Ag 0.857 0.857 0.362
18 Ag 0.986 0.352 0.352

***

Density functional theory data (PBE) for NaSr2ZrAg after structural relaxation.

As for the space group: No. 123.

abc: 6.032 6.032 5.520
angles: 90.00 90.00 90.00
Positions (direct):
1 Na 0.000 0.000 0.000
2 Sr 0.000 0.500 0.000
3 Sr 0.500 0.000 0.000
4 Zr 0.000 0.000 0.500
5 Ag 0.500 0.500 0.500

***

no.,energy of formation (kJ per mole of atoms)
1,-13.55
2,-1.25
3,19.01
4,96.29